# GGA-PBE ThUC2, relaxed
# Formation energy   -0.0696 eV per atom
# Size of the total moment   0.000 μB/atom
# Relative energy among the computed polymorphs   0.77 eV/f.u.
data_ThUC2
_cell_length_a 3.577
_cell_length_b 3.577
_cell_length_c 6.401
_cell_angle_alpha 73.77
_cell_angle_beta 73.77
_cell_angle_gamma 60.00
_symmetry_space_group_name_H-M 'P 1'
_symmetry_Int_Tables_number 1
loop_
_symmetry_equiv_pos_as_xyz
'x,y,z'
loop_
_atom_site_label
_atom_site_type_symbol
_atom_site_fract_x
_atom_site_fract_y
_atom_site_fract_z
U1 U 0.667 0.667 0.999
C1 C 0.268 0.268 0.197
C2 C 0.071 0.071 0.788
Th1 Th 0.494 0.494 0.517